DFT (PBE-GGA) results for a relaxed structure of La6GeSe2Br3.

Computed properties:
**Total magnetization**: 0.00 μB/f.u.
**ΔE_f (raw)**: -18.3 eV per formula unit
**Total energy**: -64.49 eV per cell

Cell and atoms, written as POSCAR:
```
La6GeSe2Br3
1.0
7.5432 -0.0044 -0.0014
-3.7736 6.5315 -0.0014
-1.2584 -2.1789 7.2004
La Se Br Ge
6 2 3 1
direct
0.0751 0.4064 0.2236
0.7422 0.7422 0.2233
0.9249 0.5936 0.7764
0.2578 0.2578 0.7767
0.5936 0.9249 0.7764
0.4064 0.0751 0.2236
0.6671 0.3329 0.0000
0.3329 0.6671 0.0000
0.1644 0.8356 0.5000
0.5000 0.5000 0.5000
0.8356 0.1644 0.5000
0.0000 0.0000 0.0000
```